Computed, not measured: crystalline Tb2NdC at its relaxed geometry at the GGA-PBE level of DFT.

a = 3.5551 Å, b = 3.5551 Å, c = 29.7027 Å
α = 90.00°, β = 90.00°, γ = 120.00°
Space group R-3m (No. 166, hexagonal axes)
Unique sites:
1 Tb 0.0000 0.0000 0.1210
2 Nd 0.0000 0.0000 0.0000
3 C 0.0000 0.0000 0.5000

Results
- Density of states at the Fermi level: 14.440 states/eV/cell
- Energy of formation: -84 meV per atom
- Polymorph energy (0 for the lowest one): 0.33 eV per formula unit
- V: 325 Å³ per cell

Computed, not measured: crystalline Tb2NdTlC at its relaxed geometry at the GGA-PBE level of DFT.

a = 4.964 Å, b = 4.964 Å, c = 5.124 Å
α = 90.00°, β = 90.00°, γ = 90.00°
Space group P4/mmm (No. 123)
Unique sites:
1 Tb 0.000 0.500 0.000
2 Nd 0.000 0.000 0.500
3 Tl 0.500 0.500 0.500
4 C 0.000 0.000 0.000

Results
- Density of states at the Fermi level: 2.091 states/eV/cell
- Energy of formation: -373 meV per atom
- V: 126 Å³ per cell

Computed, not measured: crystalline Tb2NdW2C4 at its relaxed geometry at the GGA-PBE level of DFT.

a = 16.962 Å, b = 3.509 Å, c = 5.619 Å
α = 90.00°, β = 93.40°, γ = 90.00°
Space group C2/m (No. 12)
Unique sites:
1 Tb 0.161 0.000 0.080
2 Nd 0.000 0.000 0.500
3 W 0.188 0.500 0.564
4 C 0.094 0.500 0.354
5 C 0.235 0.000 0.722

Results
- Density of states at the Fermi level: 6.669 states/eV/cell
- Energy of formation: -49 meV per atom
- V: 334 Å³ per cell

Computed, not measured: crystalline Nd3TcC4 at its relaxed geometry at the GGA-PBE level of DFT.

a = 16.924 Å, b = 3.682 Å, c = 4.464 Å
α = 90.00°, β = 99.45°, γ = 90.00°
Space group C2/m (No. 12)
Unique sites:
1 Nd 0.000 0.000 0.000
2 Nd 0.176 0.000 0.708
3 Tc 0.000 0.500 0.500
4 C 0.103 0.500 0.321
5 C 0.173 0.500 0.220

Results
- Density of states at the Fermi level: 8.539 states/eV/cell
- Energy of formation: -86 meV per atom
- V: 274 Å³ per cell

Computed, not measured: crystalline NdTcC at its relaxed geometry at the GGA-PBE level of DFT.

a = 17.667 Å, b = 3.896 Å, c = 7.053 Å
α = 90.00°, β = 91.50°, γ = 90.00°
Space group C2/m (No. 12)
Unique sites:
1 Nd 0.101 0.000 0.340
2 Nd 0.104 0.500 0.892
3 Tc 0.211 0.500 0.577
4 Tc 0.242 0.500 0.146
5 C 0.184 0.000 0.064
6 C 0.192 0.000 0.614

Results
- Density of states at the Fermi level: 13.643 states/eV/cell
- Energy of formation: -9 meV per atom
- Polymorph energy (0 for the lowest one): 0.19 eV per formula unit
- V: 485 Å³ per cell

Computed, not measured: crystalline Nd2TcC4 at its relaxed geometry at the GGA-PBE level of DFT.

a = 7.950 Å, b = 9.919 Å, c = 5.389 Å
α = 90.00°, β = 90.00°, γ = 90.00°
Space group Ibam (No. 72)
Unique sites:
1 Nd 0.151 0.151 0.000
2 Tc 0.000 0.500 0.250
3 C 0.161 0.124 0.500
4 C 0.178 0.425 0.000

Results
- Density of states at the Fermi level: 12.805 states/eV/cell
- Energy of formation: -139 meV per atom
- V: 425 Å³ per cell

Computed, not measured: crystalline NdTc2C3 at its relaxed geometry at the GGA-PBE level of DFT.

a = 7.891 Å, b = 8.875 Å, c = 5.393 Å
α = 90.00°, β = 90.00°, γ = 90.00°
Space group Cmcm (No. 63)
Unique sites:
1 Nd 0.000 0.175 0.250
2 Tc 0.174 0.500 0.000
3 C 0.000 0.414 0.750
4 C 0.191 0.099 0.750

Results
- Density of states at the Fermi level: 13.728 states/eV/cell
- Energy of formation: 477 meV per atom
- V: 378 Å³ per cell

Computed, not measured: crystalline NdTcC at its relaxed geometry at the GGA-PBE level of DFT.

a = 5.762 Å, b = 3.678 Å, c = 5.309 Å
α = 90.00°, β = 90.00°, γ = 90.00°
Space group Pmma (No. 51)
Unique sites:
1 Nd 0.250 0.000 0.249
2 Tc 0.250 0.500 0.737
3 C 0.000 0.500 0.500

Results
- Density of states at the Fermi level: 2.332 states/eV/cell
- Energy of formation: -30 meV per atom
- Polymorph energy (0 for the lowest one): 0.13 eV per formula unit
- V: 113 Å³ per cell

Computed, not measured: crystalline NdTc4C2 at its relaxed geometry at the GGA-PBE level of DFT.

a = 3.952 Å, b = 13.840 Å, c = 3.917 Å
α = 90.00°, β = 90.00°, γ = 90.00°
Space group Cmmm (No. 65)
Unique sites:
1 Nd 0.000 0.000 0.000
2 Tc 0.000 0.179 0.500
3 Tc 0.000 0.314 0.000
4 C 0.000 0.368 0.500

Results
- Density of states at the Fermi level: 4.338 states/eV/cell
- Energy of formation: 53 meV per atom
- V: 214 Å³ per cell

Computed, not measured: crystalline NdTc3C2 at its relaxed geometry at the GGA-PBE level of DFT.

a = 12.726 Å, b = 3.749 Å, c = 8.150 Å
α = 90.00°, β = 116.46°, γ = 90.00°
Space group C2/m (No. 12)
Unique sites:
1 Nd 0.133 0.000 0.017
2 Tc 0.058 0.000 0.390
3 Tc 0.114 0.500 0.669
4 Tc 0.214 0.500 0.378
5 C 0.027 0.500 0.270
6 C 0.206 0.000 0.778

Results
- Density of states at the Fermi level: 8.960 states/eV/cell
- Energy of formation: 9 meV per atom
- V: 348 Å³ per cell

Computed, not measured: crystalline NdTc3C3 at its relaxed geometry at the GGA-PBE level of DFT.

a = 5.9856 Å, b = 5.9856 Å, c = 20.0195 Å
α = 90.00°, β = 90.00°, γ = 120.00°
Space group R-3 (No. 148, hexagonal axes)
Unique sites:
1 Nd 0.0000 0.0000 0.1705
2 Tc 0.0124 0.6419 0.2878
3 C 0.0072 0.7014 0.7305

Results
- Density of states at the Fermi level: 18.672 states/eV/cell
- Energy of formation: 126 meV per atom
- V: 621 Å³ per cell

Computed, not measured: crystalline NdTcC2 at its relaxed geometry at the GGA-PBE level of DFT.

a = 3.2956 Å, b = 3.2956 Å, c = 16.9169 Å
α = 90.00°, β = 90.00°, γ = 120.00°
Space group R-3m (No. 166, hexagonal axes)
Unique sites:
1 Nd 0.0000 0.0000 0.0000
2 Tc 0.0000 0.0000 0.5000
3 C 0.0000 0.0000 0.2326

Results
- Density of states at the Fermi level: 6.724 states/eV/cell
- Energy of formation: 303 meV per atom
- Polymorph energy (0 for the lowest one): 1.47 eV per formula unit
- V: 159 Å³ per cell